HoBO3: relaxed, PBE.

Computed properties:
- final energy (eV per cell) = -166.75
- calculated density (g/cm³) = 6.574
- formation energy from raw total energies (eV per atom) = -3.1113

Lattice parameters (Å, degrees): 6.1607 6.3664 6.3873 92.55 107.39 107.11
Space group P-1 (No. 2)
Symmetry-distinct sites (fractional):
Ho  0.0451  0.2687  0.3329 [2 per cell]
Ho  0.4439  0.8196  0.2237 [2 per cell]
B  0.0192  0.2379  0.7823 [2 per cell]
B  0.4783  0.2793  0.2637 [2 per cell]
O  0.0459  0.7762  0.0310 [2 per cell]
O  0.0883  0.6439  0.3733 [2 per cell]
O  0.1545  0.1241  0.7183 [2 per cell]
O  0.3683  0.1290  0.3860 [2 per cell]
O  0.3858  0.7951  0.8424 [2 per cell]
O  0.4261  0.4718  0.2507 [2 per cell]

=====

KCaI2: relaxed, PBE.

Computed properties:
- final energy (eV per cell) = -32.75
- energy above the lowest structure with this stoichiometry (eV/f.u.) = 0.00
- calculated density (g/cm³) = 2.651
- formation energy from raw total energies (eV per atom) = -1.1793

Lattice parameters (Å, degrees): 4.5430 4.5430 35.0050 90.00 90.00 120.00
Space group R-3m (No. 166, hexagonal axes)
Symmetry-distinct sites (fractional):
K  0.0000  0.0000  0.0000 [3 per cell]
Ca  0.0000  0.0000  0.5000 [3 per cell]
I  0.0000  0.0000  0.1157 [6 per cell]